## PrHoPd2 (PBE-GGA)

Data for a geometry-optimized PrHoPd2 structure.

Its magnetic moment is 0.0000 μB per atom. For the calculated formation energy, the calculation gives -846 meV per atom. Its excess energy over the best structure of this formula in the dataset is 0 meV/atom.

a = 4.6088 Å, b = 3.8294 Å, c = 10.7340 Å
α = 90.00°, β = 90.00°, γ = 90.00°
Last column: nearest neighbours and their distance in Å.
Atoms (fractional coordinates):
1 Pr 0.0000 0.0000 0.0000  7 Pd 2.94-3.09
2 Pr 0.0000 0.5000 0.5000  7 Pd 2.94-3.09
3 Ho 0.5000 0.0000 0.2738  7 Pd 3.02-3.04
4 Ho 0.5000 0.5000 0.7738  7 Pd 3.02-3.04
5 Pd 0.0000 0.0000 0.7261  3 Pr 2.94-3.09, 2 Pd 2.94, 4 Ho 3.04
6 Pd 0.0000 0.5000 0.2261  3 Pr 2.94-3.09, 2 Pd 2.94, 4 Ho 3.04
7 Pd 0.5000 0.0000 0.5553  2 Pd 2.94, 3 Ho 3.02-3.03, 4 Pr 3.05
8 Pd 0.5000 0.5000 0.0553  2 Pd 2.94, 3 Ho 3.02-3.03, 4 Pr 3.05

***

## TiB4Mo (PBE-GGA)

Data for a geometry-optimized TiB4Mo structure.

Its magnetic moment is 0.0000 μB per atom. For the calculated formation energy, the calculation gives -717 meV per atom. Its excess energy over the best structure of this formula in the dataset is 0 meV/atom.

a = 3.0614 Å, b = 5.2895 Å, c = 6.4210 Å
α = 90.00°, β = 90.00°, γ = 90.00°
Last column: nearest neighbours and their distance in Å.
Atoms (fractional coordinates):
1 Ti 0.0000 0.0000 0.0000  12 B 2.37-2.40
2 Ti 0.5000 0.5000 0.5000  12 B 2.37-2.40
3 B 0.0000 0.3338 0.2530  3 B 1.76-1.77
4 B 0.0000 0.3338 0.7470  3 B 1.76-1.77
5 B 0.0000 0.6662 0.2530  3 B 1.76-1.77
6 B 0.0000 0.6662 0.7470  3 B 1.76-1.77
7 B 0.5000 0.1662 0.2470  3 B 1.76-1.77
8 B 0.5000 0.1662 0.7530  3 B 1.76-1.77
9 B 0.5000 0.8338 0.2470  3 B 1.76-1.77
10 B 0.5000 0.8338 0.7530  3 B 1.76-1.77
11 Mo 0.0000 0.0000 0.5000  12 B 2.37-2.40
12 Mo 0.5000 0.5000 0.0000  12 B 2.37-2.40

***

## OsAuBr2 (PBE-GGA)

Data for a geometry-optimized OsAuBr2 structure.

For the raw formation energy, the calculation gives 772 meV/atom. Its magnetic moment is 0.0000 μB per atom. Its excess energy over the best structure of this formula in the dataset is 343 meV/atom.

a = 3.0080 Å, b = 5.6314 Å, c = 10.7057 Å
α = 90.00°, β = 90.00°, γ = 90.00°
Last column: nearest neighbours and their distance in Å.
Atoms (fractional coordinates):
1 Os 0.0000 0.0000 0.0000  4 Br 2.51
2 Os 0.5000 0.5000 0.0000  4 Br 2.51
3 Au 0.0000 0.0000 0.5000  6 Au 3.01-3.19
4 Au 0.5000 0.5000 0.5000  6 Au 3.01-3.19
5 Br 0.0000 0.5000 0.1880  2 Os 2.51
6 Br 0.0000 0.5000 0.8120  2 Os 2.51
7 Br 0.5000 0.0000 0.1880  2 Os 2.51
8 Br 0.5000 0.0000 0.8120  2 Os 2.51

***

## Tb3Pm2Y (PBE-GGA)

Data for a geometry-optimized Tb3Pm2Y structure.

Its magnetic moment is 0.0000 μB per atom. For the calculated formation energy, the calculation gives 92 meV per atom. Its excess energy over the best structure of this formula in the dataset is 0 meV/atom.

a = 9.0589 Å, b = 9.0589 Å, c = 9.9366 Å
α = 123.13°, β = 123.13°, γ = 36.38°
Last column: nearest neighbours and their distance in Å.
Atoms (fractional coordinates):
1 Tb 0.0427 0.0427 0.2022  6 Tb 3.39-3.77, 2 Pm 3.47, 1 Y 3.64
2 Tb 0.2878 0.2878 0.5038  2 Tb 3.10, 1 Pm 3.13
3 Tb 0.3860 0.3860 0.9290  4 Tb 3.32-3.61, 3 Pm 3.41-3.44, 1 Y 3.62
4 Tb 0.6140 0.6140 0.0710  4 Tb 3.32-3.61, 3 Pm 3.41-3.44, 1 Y 3.62
5 Tb 0.7122 0.7122 0.4962  2 Tb 3.10, 1 Pm 3.13
6 Tb 0.9573 0.9573 0.7978  6 Tb 3.39-3.77, 2 Pm 3.47, 1 Y 3.64
7 Pm 0.2337 0.2337 0.0898  4 Tb 3.44-3.77, 3 Pm 3.56-3.67, 3 Y 3.69-3.80
8 Pm 0.4945 0.4945 0.3442  1 Pm 2.99, 1 Tb 3.13
9 Pm 0.5055 0.5055 0.6558  1 Pm 2.99, 1 Tb 3.13
10 Pm 0.7663 0.7663 0.9102  4 Tb 3.44-3.77, 3 Pm 3.56-3.67, 3 Y 3.69-3.80
11 Y 0.1305 0.1305 0.6339  5 Tb 3.61-3.75, 7 Pm 3.63-3.80, 1 Y 3.68
12 Y 0.8695 0.8695 0.3661  5 Tb 3.61-3.75, 7 Pm 3.63-3.80, 1 Y 3.68

***

## CdCu2Hg (PBE-GGA)

Data for a geometry-optimized CdCu2Hg structure.

Its magnetic moment is 0.0000 μB per atom. For the calculated formation energy, the calculation gives 115 meV per atom.

a = 9.9392 Å, b = 3.0938 Å, c = 4.6329 Å
α = 90.00°, β = 109.95°, γ = 90.00°
Last column: nearest neighbours and their distance in Å.
Atoms (fractional coordinates):
1 Cd 0.0000 0.0000 0.0000  7 Cu 2.80-2.86, 4 Hg 3.07-3.13, 2 Cd 3.09
2 Cd 0.5000 0.5000 0.0000  7 Cu 2.80-2.86, 4 Hg 3.07-3.13, 2 Cd 3.09
3 Cu 0.0375 0.5000 0.5291  2 Cu 2.54, 4 Cd 2.80-2.81, 2 Hg 2.83
4 Cu 0.2430 0.0000 0.8092  2 Cu 2.54, 4 Hg 2.81-2.82, 1 Cd 2.84
5 Cu 0.5375 0.0000 0.5291  2 Cu 2.54, 4 Cd 2.80-2.81, 2 Hg 2.83
6 Cu 0.7430 0.5000 0.8092  2 Cu 2.54, 4 Hg 2.81-2.82, 1 Cd 2.84
7 Hg 0.2834 0.5000 0.3402  7 Cu 2.81-2.86, 4 Cd 3.07-3.13, 2 Hg 3.09
8 Hg 0.7834 0.0000 0.3402  7 Cu 2.81-2.86, 4 Cd 3.07-3.13, 2 Hg 3.09

***

## Sc4SnOsRu2 (PBE-GGA)

Data for a geometry-optimized Sc4SnOsRu2 structure.

Its magnetic moment is 0.0000 μB per atom. For the calculated formation energy, the calculation gives -550 meV per atom.

a = 8.1283 Å, b = 8.1283 Å, c = 8.1283 Å
α = 33.14°, β = 33.14°, γ = 33.14°
Last column: nearest neighbours and their distance in Å.
Atoms (fractional coordinates):
1 Sc 0.1166 0.1166 0.1166  1 Os 2.68, 3 Ru 2.78, 3 Sn 2.91
2 Sc 0.3695 0.3695 0.3695  4 Ru 2.77-2.90, 3 Os 2.80, 1 Sn 3.00
3 Sc 0.6305 0.6305 0.6305  4 Ru 2.77-2.90, 3 Os 2.80, 1 Sn 3.00
4 Sc 0.8834 0.8834 0.8834  1 Os 2.68, 3 Ru 2.78, 3 Sn 2.91
5 Sn 0.5000 0.5000 0.5000  8 Sc 2.91-3.00
6 Os 0.0000 0.0000 0.0000  8 Sc 2.68-2.80
7 Ru 0.2490 0.2490 0.2490  8 Sc 2.77-3.05
8 Ru 0.7510 0.7510 0.7510  8 Sc 2.77-3.05

***

## CdTe2RuN (PBE-GGA)

Data for a geometry-optimized CdTe2RuN structure.

For the raw formation energy, the calculation gives 1630 meV/atom. Its magnetic moment is 0.7392 μB per atom. Its excess energy over the best structure of this formula in the dataset is 1397 meV/atom.

a = 5.6115 Å, b = 5.6115 Å, c = 3.9857 Å
α = 90.00°, β = 90.00°, γ = 90.00°
Last column: nearest neighbours and their distance in Å.
Atoms (fractional coordinates):
1 Cd 0.0000 0.0000 0.0000  2 N 1.99
2 Te 0.0000 0.5000 0.0000  2 Cd 2.81
3 Te 0.5000 0.0000 0.0000  2 Cd 2.81
4 Ru 0.5000 0.5000 0.5000  8 Te 3.44
5 N 0.0000 0.0000 0.5000  2 Cd 1.99

***

## AcScZnIn (PBE-GGA)

Data for a geometry-optimized AcScZnIn structure.

Its magnetic moment is 0.0010 μB per atom. For the calculated formation energy, the calculation gives -254 meV per atom.

a = 7.5739 Å, b = 7.5739 Å, c = 7.5739 Å
α = 90.00°, β = 90.00°, γ = 90.00°
Last column: nearest neighbours and their distance in Å.
Atoms (fractional coordinates):
1 Ac 0.0000 0.0000 0.0000  4 Zn 3.28, 4 In 3.28
2 Ac 0.0000 0.5000 0.5000  4 Zn 3.28, 4 In 3.28
3 Ac 0.5000 0.0000 0.5000  4 Zn 3.28, 4 In 3.28
4 Ac 0.5000 0.5000 0.0000  4 Zn 3.28, 4 In 3.28
5 Sc 0.0000 0.0000 0.5000  4 In 3.28, 4 Zn 3.28
6 Sc 0.0000 0.5000 0.0000  4 In 3.28, 4 Zn 3.28
7 Sc 0.5000 0.0000 0.0000  4 In 3.28, 4 Zn 3.28
8 Sc 0.5000 0.5000 0.5000  4 In 3.28, 4 Zn 3.28
9 Zn 0.2500 0.2500 0.2500  4 Ac 3.28, 4 Sc 3.28
10 Zn 0.2500 0.7500 0.7500  4 Ac 3.28, 4 Sc 3.28
11 Zn 0.7500 0.2500 0.7500  4 Ac 3.28, 4 Sc 3.28
12 Zn 0.7500 0.7500 0.2500  4 Ac 3.28, 4 Sc 3.28
13 In 0.2500 0.2500 0.7500  4 Ac 3.28, 4 Sc 3.28
14 In 0.2500 0.7500 0.2500  4 Ac 3.28, 4 Sc 3.28
15 In 0.7500 0.2500 0.2500  4 Ac 3.28, 4 Sc 3.28
16 In 0.7500 0.7500 0.7500  4 Sc 3.28, 4 Ac 3.28